Record 1
Compound: Ti3NiH6
Source: Alexandria via LeMat-Bulk
Functional: GGA-PBE
Structure: relaxed

Cell lengths 5.8510, 5.8510, 4.6202 Å; angles 90.00, 90.00, 104.12 degrees
Sites, in units of the cell vectors:
Ti 0.1201 0.8799 0.5000
Ti 0.1711 0.4053 0.4754
Ti 0.4053 0.1711 0.9754
Ti 0.5947 0.8289 0.4754
Ti 0.8289 0.5947 0.9754
Ti 0.8799 0.1201 0.0000
Ni 0.3479 0.6521 0.9665
Ni 0.6521 0.3479 0.4665
H 0.0945 0.6139 0.7476
H 0.1397 0.1505 0.7361
H 0.1505 0.1397 0.2361
H 0.2916 0.7084 0.3013
H 0.3861 0.9055 0.7476
H 0.4853 0.5147 0.7268
H 0.5147 0.4853 0.2268
H 0.6139 0.0945 0.2476
H 0.7084 0.2916 0.8013
H 0.8495 0.8603 0.7361
H 0.8603 0.8495 0.2361
H 0.9055 0.3861 0.2476

For the magnetic moment, the calculation gives 0.000 μB/atom. The density of states at the Fermi level is 0.58 states/eV per atom. The calculation puts the electronic total energy at -53.1 eV/f.u. Its space group is Cmc2_1, No. 36.

***

Record 2
Compound: BaAc3Os
Source: Alexandria via LeMat-Bulk
Functional: GGA-PBE
Structure: relaxed

Cell lengths 6.0114, 6.0114, 6.0114 Å; angles 90.00, 90.00, 90.00 degrees
Sites, in units of the cell vectors:
Ba 0.0000 0.0000 0.0000
Ac 0.0000 0.5000 0.5000
Ac 0.5000 0.0000 0.5000
Ac 0.5000 0.5000 0.0000
Os 0.5000 0.5000 0.5000

For the magnetic moment, the calculation gives 0.000 μB/atom. The density of states at the Fermi level is 0.61 states/eV per atom. The calculation puts the electronic total energy at -25.5 eV/f.u. Its space group is Pm-3m, No. 221. The energy relative to the elements is -0.01 eV per atom.

***

Record 3
Compound: Be3GaP
Source: Alexandria via LeMat-Bulk
Functional: GGA-PBE
Structure: relaxed

Cell lengths 4.1432, 4.1432, 4.1432 Å; angles 90.00, 90.00, 90.00 degrees
Sites, in units of the cell vectors:
Be 0.0000 0.0000 0.5000
Be 0.0000 0.5000 0.0000
Be 0.5000 0.0000 0.0000
Ga 0.5000 0.5000 0.5000
P 0.0000 0.0000 0.0000

For the magnetic moment, the calculation gives 0.000 μB/atom. The density of states at the Fermi level is 0.38 states/eV per atom. The calculation puts the electronic total energy at -16.6 eV/f.u. Its space group is Pm-3m, No. 221. The energy relative to the elements is 0.60 eV per atom.

***

Record 4
Compound: TiMnP
Source: Alexandria via LeMat-Bulk
Functional: GGA-PBE
Structure: relaxed

Cell lengths 6.2010, 6.2010, 3.3765 Å; angles 90.00, 90.00, 120.00 degrees
Sites, in units of the cell vectors:
Ti 0.0000 0.5891 0.0000
Ti 0.4109 0.4109 0.0000
Ti 0.5891 0.0000 0.0000
Mn 0.0000 0.2474 0.5000
Mn 0.2474 0.0000 0.5000
Mn 0.7526 0.7526 0.5000
P 0.0000 0.0000 0.0000
P 0.3333 0.6667 0.5000
P 0.6667 0.3333 0.5000

For the magnetic moment, the calculation gives 0.192 μB/atom. The density of states at the Fermi level is 0.58 states/eV per atom. The calculation puts the electronic total energy at -25.5 eV/f.u. Its space group is P-62m, No. 189. The energy relative to the elements is -1.02 eV per atom.

***

Record 5
Compound: PrTlAg
Source: Alexandria via LeMat-Bulk
Functional: GGA-PBE
Structure: relaxed

Cell lengths 8.3438, 8.3438, 8.3438 Å; angles 156.28, 156.28, 33.80 degrees
Sites, in units of the cell vectors:
Pr 0.0000 0.0000 0.0000
Tl 0.2018 0.2018 0.0000
Ag 0.8131 0.8131 0.0000

For the magnetic moment, the calculation gives 0.001 μB/atom. The density of states at the Fermi level is 1.00 states/eV per atom. The calculation puts the electronic total energy at -8.9 eV/f.u. Its space group is I4mm, No. 107. The energy relative to the elements is 0.37 eV per atom.

***

Record 6
Compound: Pr3YHo6Er2
Source: Alexandria via LeMat-Bulk
Functional: GGA-PBE
Structure: relaxed

Cell lengths 6.1981, 6.1981, 11.8136 Å; angles 95.01, 95.01, 119.97 degrees
Sites, in units of the cell vectors:
Pr 0.0000 0.0000 0.0000
Pr 0.3333 0.6667 0.0000
Pr 0.6667 0.3333 0.0000
Y 0.5000 0.5000 0.5000
Ho 0.0838 0.4180 0.2548
Ho 0.2478 0.2478 0.7452
Ho 0.4180 0.0838 0.2548
Ho 0.5820 0.9162 0.7452
Ho 0.7522 0.7522 0.2548
Ho 0.9162 0.5820 0.7452
Er 0.1666 0.8334 0.5000
Er 0.8334 0.1666 0.5000

For the magnetic moment, the calculation gives 0.000 μB/atom. The density of states at the Fermi level is 1.37 states/eV per atom. The calculation puts the electronic total energy at -57.1 eV/f.u. Its space group is C2/m, No. 12. The energy relative to the elements is 0.02 eV per atom.